A plane-wave DFT calculation with PBE was carried out for crystalline Li2AcEr2Pb2 at its relaxed geometry.

Cell: 9.7030 9.7030 9.7030 Å, 29.43 29.43 29.43°
Last column: nearest neighbours and their distance in Å.
Fractional positions:
Li (0.0751, 0.0751, 0.0751)  3 Pb 2.87, 3 Er 3.07
Li (0.9249, 0.9249, 0.9249)  3 Pb 2.87, 3 Er 3.07
Ac (0.5000, 0.5000, 0.5000)  6 Pb 3.58, 2 Er 3.70, 6 Li 3.82
Er (0.3670, 0.3670, 0.3670)  3 Li 3.07, 4 Pb 3.23-3.41, 3 Er 3.41
Er (0.6330, 0.6330, 0.6330)  3 Li 3.07, 4 Pb 3.23-3.41, 3 Er 3.41
Pb (0.2445, 0.2445, 0.2445)  3 Li 2.87
Pb (0.7555, 0.7555, 0.7555)  3 Li 2.87

Calculated values
Mass density, kg/m³: 8419
Formation enthalpy at 0 K, eV/atom: -0.329
Final energy, eV per cell: -26.78
Symmetry: R-3m